First-principles (GGA-PBE) data for Ta2BeAl after structural relaxation, as listed in the Alexandria database.

Properties
ΔE to the lowest computed polymorph   0.166 eV/atom
Size of the total moment   0.00 μB/atom
Energy relative to the elements   -0.011 eV per atom
Theoretical density   10.756 g/cm3

abc: 3.3765 4.2493 8.5622
angles: 90.00 90.00 90.00
Closest atoms and distances in Å follow each position.
Space group Imm2 (No. 44)
Symmetry-distinct sites (fractional):
1 Ta 0.0000 0.0000 0.0000 x2  2 Be 2.69, 4 Al 2.74, 4 Ta 2.87-2.89
2 Ta 0.0000 0.5000 0.2292 x2  4 Be 2.72, 4 Ta 2.87-2.89, 4 Al 2.88-2.89
3 Be 0.0000 0.5000 0.7449 x2  2 Al 2.47, 6 Ta 2.69-2.72
4 Al 0.0000 0.0000 0.4555 x2  2 Be 2.47, 4 Ta 2.74

First-principles (GGA-PBE) data for Tb3Dy8Th4 after structural relaxation, as listed in the Alexandria database.

Properties
Size of the total moment   0.00 μB/atom
Energy relative to the elements   0.425 eV per atom
Theoretical density   9.024 g/cm3

abc: 13.2840 12.8805 6.7246
angles: 90.00 120.09 90.00
Closest atoms and distances in Å follow each position.
Space group C2/m (No. 12)
Symmetry-distinct sites (fractional):
1 Tb 0.0000 0.0000 0.0000 x2  6 Dy 3.15-3.26
2 Tb 0.2500 0.2500 0.0000 x4  6 Dy 3.22-3.61, 2 Th 3.36
3 Dy 0.0000 0.1434 0.5000 x4  2 Th 3.59, 7 Dy 3.61-3.72, 4 Tb 3.61-3.84
4 Dy 0.0000 0.2445 0.0000 x4  3 Tb 3.15-3.32, 3 Th 3.29-3.34
5 Dy 0.2367 0.0000 0.5017 x4  4 Th 3.23-3.50, 2 Dy 3.23-3.49, 1 Tb 3.26
6 Dy 0.2408 0.0000 0.9868 x4  3 Tb 3.22-3.24, 2 Dy 3.23-3.49, 2 Th 3.40-3.44
7 Th 0.0000 0.5000 0.0000 x2  6 Dy 3.29-3.42, 2 Th 3.36
8 Th 0.0000 0.5000 0.5000 x2  2 Th 3.36, 4 Dy 3.44-3.50
9 Th 0.2500 0.2500 0.5000 x4  6 Dy 3.23-3.59, 2 Tb 3.36